# 1
Material: Ce2ErGa2Au2
Method: DFT, PBE
State: optimized geometry

Values from the calculation:
ρ   10.63 g cm⁻³
Electronic total energy   -33.33 eV/cell
E_form   -613 meV/atom

a b c (Å): 4.4680 4.4680 9.2271
angles (deg): 75.99 75.99 60.00
Closest atoms and distances in Å follow each position.
Sites, in units of the cell vectors:
Ce (0.1389, 0.1389, 0.5834)  3 Ce 2.97, 4 Ga 3.14-3.27, 3 Au 3.24
Ce (0.8611, 0.8611, 0.4166)  3 Ce 2.97, 4 Ga 3.14-3.27, 3 Au 3.24
Er (0.0000, 0.0000, 0.0000)  6 Au 3.11, 6 Ga 3.21
Ga (0.7382, 0.7382, 0.7853)  3 Au 2.59
Ga (0.2618, 0.2618, 0.2147)  3 Au 2.59
Au (0.6016, 0.6016, 0.1951)  3 Ga 2.59
Au (0.3984, 0.3984, 0.8049)  3 Ga 2.59

# 2
Material: TbSmMgBi
Method: DFT, PBE
State: optimized geometry

Values from the calculation:
ρ   7.81 g cm⁻³
Electronic total energy   -16.13 eV/cell
E_form   -327 meV/atom

a b c (Å): 5.4652 5.4652 5.4652
angles (deg): 60.00 60.00 60.00
Closest atoms and distances in Å follow each position.
Sites, in units of the cell vectors:
Mg (0.0000, 0.0000, 0.0000)  4 Tb 3.35, 4 Sm 3.35
Tb (0.2500, 0.2500, 0.2500)  4 Bi 3.35, 4 Mg 3.35
Bi (0.5000, 0.5000, 0.5000)  4 Tb 3.35, 4 Sm 3.35
Sm (0.7500, 0.7500, 0.7500)  4 Bi 3.35, 4 Mg 3.35

# 3
Material: AcLaMg
Method: DFT, PBE
State: optimized geometry

Values from the calculation:
Offset from the most stable computed form   73 meV/atom
ρ   6.18 g cm⁻³
Electronic total energy   -10.56 eV/cell
E_form   23 meV/atom

a b c (Å): 3.6909 5.7267 5.7267
angles (deg): 120.00 90.00 90.00
Closest atoms and distances in Å follow each position.
Sites, in units of the cell vectors:
Ac (0.9734, 0.0000, 0.0000)  3 Mg 3.52, 3 La 3.64, 2 Ac 3.69
Mg (0.6427, 0.6667, 0.3333)  3 La 3.44, 3 Ac 3.52, 2 Mg 3.69
La (0.3839, 0.3333, 0.6667)  3 Mg 3.44, 3 Ac 3.64, 2 La 3.69

# 4
Material: Tb8Sm2Mg
Method: DFT, PBE
State: optimized geometry

Values from the calculation:
Offset from the most stable computed form   0 meV/atom
ρ   7.42 g cm⁻³
Electronic total energy   -46.90 eV/cell
E_form   106 meV/atom

a b c (Å): 5.5181 7.7233 9.6312
angles (deg): 113.64 106.65 90.00
Closest atoms and distances in Å follow each position.
Sites, in units of the cell vectors:
Tb (0.6354, 0.8562, 0.2707)  1 Mg 3.13, 2 Sm 3.40, 1 Tb 3.41
Tb (0.3646, 0.5855, 0.7293)  1 Mg 3.13, 2 Sm 3.40, 1 Tb 3.41
Tb (0.1743, 0.1743, 0.3486)  4 Sm 3.52-3.88, 8 Tb 3.56-3.62
Tb (0.0000, 0.2692, 0.0000)  2 Mg 3.45, 7 Tb 3.56-3.59, 2 Sm 3.73
Tb (0.8257, 0.8257, 0.6514)  4 Sm 3.52-3.88, 8 Tb 3.56-3.62
Tb (0.6354, 0.4145, 0.2707)  1 Mg 3.13, 2 Sm 3.40, 1 Tb 3.41
Tb (0.3646, 0.1438, 0.7293)  1 Mg 3.13, 2 Sm 3.40, 1 Tb 3.41
Tb (0.0000, 0.7308, 0.0000)  2 Mg 3.45, 7 Tb 3.56-3.59, 2 Sm 3.73
Sm (0.1955, 0.6955, 0.3910)  10 Tb 3.40-3.73
Sm (0.8045, 0.3045, 0.6090)  10 Tb 3.40-3.73
Mg (0.5000, 0.0000, 0.0000)  8 Tb 3.13-3.45

# 5
Material: SmScPt
Method: DFT, PBE
State: optimized geometry

Values from the calculation:
Offset from the most stable computed form   9 meV/atom
ρ   9.03 g cm⁻³
Electronic total energy   -39.61 eV/cell
E_form   -905 meV/atom

a b c (Å): 4.5469 4.5480 6.9416
angles (deg): 89.96 90.04 90.00
Closest atoms and distances in Å follow each position.
Sites, in units of the cell vectors:
Sm (0.8137, 0.8663, 0.5511)  1 Pt 2.84
Sm (0.3134, 0.3666, 0.2881)  1 Pt 2.84
Sc (0.8135, 0.3664, 0.9196)  4 Pt 2.75
Sc (0.3137, 0.8666, 0.9196)  4 Pt 2.75
Pt (0.8140, 0.8660, 0.1424)  4 Sc 2.75, 1 Sm 2.84
Pt (0.3131, 0.3669, 0.6968)  4 Sc 2.75, 1 Sm 2.84

# 6
Material: CuAsPd
Method: DFT, PBE
State: optimized geometry

Values from the calculation:
ρ   8.15 g cm⁻³
Electronic total energy   -14.24 eV/cell
E_form   -100 meV/atom

a b c (Å): 4.1323 4.1323 4.1323
angles (deg): 60.00 60.00 60.00
Closest atoms and distances in Å follow each position.
Sites, in units of the cell vectors:
As (0.2500, 0.2500, 0.2500)  4 Cu 2.53, 4 Pd 2.53
Cu (0.0000, 0.0000, 0.0000)  4 As 2.53
Pd (0.5000, 0.5000, 0.5000)  4 As 2.53

# 7
Material: ZnMoAu2
Method: DFT, PBE
State: optimized geometry

Values from the calculation:
ρ   13.90 g cm⁻³
Electronic total energy   -18.15 eV/cell
E_form   127 meV/atom

a b c (Å): 9.3875 9.3875 9.3875
angles (deg): 17.64 17.64 17.64
Closest atoms and distances in Å follow each position.
Sites, in units of the cell vectors:
Au (0.0017, 0.0017, 0.0017)  3 Zn 2.81, 6 Au 2.88, 3 Mo 2.88
Au (0.4983, 0.4983, 0.4983)  3 Zn 2.81, 6 Au 2.88, 3 Mo 2.88
Mo (0.2500, 0.2500, 0.2500)  6 Mo 2.88, 6 Au 2.88
Zn (0.7500, 0.7500, 0.7500)  6 Au 2.81, 6 Zn 2.88

# 8
Material: NpTiNb
Method: DFT, PBE
State: optimized geometry

Values from the calculation:
Offset from the most stable computed form   0 meV/atom
ρ   11.25 g cm⁻³
Electronic total energy   -29.90 eV/cell
E_form   336 meV/atom

a b c (Å): 3.3868 3.3868 5.4175
angles (deg): 108.21 108.21 90.00
Closest atoms and distances in Å follow each position.
Sites, in units of the cell vectors:
Np (0.6159, 0.6159, 0.2318)  4 Nb 2.86, 4 Ti 2.88
Nb (0.9542, 0.9542, 0.9084)  4 Np 2.86, 5 Ti 2.93-3.17
Ti (0.2799, 0.2799, 0.5597)  4 Np 2.88, 5 Nb 2.93-3.17

# 9
Material: SmTh2Te2S2
Method: DFT, PBE
State: optimized geometry

Values from the calculation:
ρ   7.41 g cm⁻³
E_form (uncorrected)   -1.134 eV per atom
Electronic total energy   -42.04 eV/cell

a b c (Å): 5.1091 5.1091 8.7898
angles (deg): 106.90 106.90 90.00
Closest atoms and distances in Å follow each position.
Sites, in units of the cell vectors:
Sm (0.0000, 0.0000, 0.0000)  4 S 2.55
Th (0.3901, 0.3901, 0.7801)  4 S 3.10, 1 Te 3.21
Th (0.6099, 0.6099, 0.2199)  4 S 3.10, 1 Te 3.21
Te (0.1897, 0.1897, 0.3793)  1 Sm 3.04, 1 Th 3.21
Te (0.8103, 0.8103, 0.6207)  1 Sm 3.04, 1 Th 3.21
S (0.0000, 0.5000, 0.0000)  2 Sm 2.55
S (0.5000, 0.0000, 0.0000)  2 Sm 2.55

# 10
Material: BaDy4Se6
Method: DFT, PBE
State: optimized geometry

Values from the calculation:
ρ   6.98 g cm⁻³
E_form (uncorrected)   -1.883 eV per atom
Electronic total energy   -123.91 eV/cell

a b c (Å): 4.1624 7.0797 21.3131
angles (deg): 90.00 90.00 107.10
Closest atoms and distances in Å follow each position.
Sites, in units of the cell vectors:
Ba (0.6591, 0.3183, 0.2500)  6 Se 3.21-3.30
Ba (0.3409, 0.6817, 0.7500)  6 Se 3.21-3.30
Dy (0.8618, 0.7236, 0.5387)  6 Se 2.84-2.95
Dy (0.4053, 0.8106, 0.1258)  6 Se 2.79-2.97
Dy (0.1382, 0.2764, 0.4613)  6 Se 2.84-2.95
Dy (0.5947, 0.1894, 0.8742)  6 Se 2.79-2.97
Dy (0.8618, 0.7236, 0.9613)  6 Se 2.84-2.95
Dy (0.1382, 0.2764, 0.0387)  6 Se 2.84-2.95
Dy (0.5947, 0.1894, 0.6258)  6 Se 2.79-2.97
Dy (0.4053, 0.8106, 0.3742)  6 Se 2.79-2.97
Se (0.5000, 0.0000, 0.0000)  6 Dy 2.92-2.97
Se (0.5000, 0.0000, 0.5000)  6 Dy 2.92-2.97
Se (0.0407, 0.0814, 0.3436)  3 Dy 2.84-2.85
Se (0.9593, 0.9186, 0.6564)  3 Dy 2.84-2.85
Se (0.9593, 0.9186, 0.8436)  3 Dy 2.84-2.85
Se (0.0407, 0.0814, 0.1564)  3 Dy 2.84-2.85
Se (0.7677, 0.5354, 0.4138)  5 Dy 2.90-2.95
Se (0.2323, 0.4646, 0.5862)  5 Dy 2.90-2.95
Se (0.2323, 0.4646, 0.9138)  5 Dy 2.90-2.95
Se (0.7677, 0.5354, 0.0862)  5 Dy 2.90-2.95
Se (0.3397, 0.6794, 0.2500)  2 Dy 2.79
Se (0.6603, 0.3206, 0.7500)  2 Dy 2.79

# 11
Material: LiEuZnSn
Method: DFT, PBE
State: optimized geometry

Values from the calculation:
ρ   6.52 g cm⁻³
Electronic total energy   -18.95 eV/cell
E_form   -372 meV/atom

a b c (Å): 4.9796 4.9796 4.9796
angles (deg): 60.00 60.00 60.00
Closest atoms and distances in Å follow each position.
Sites, in units of the cell vectors:
Eu (0.0000, 0.0000, 0.0000)  4 Li 3.05, 4 Zn 3.05
Zn (0.2500, 0.2500, 0.2500)  4 Sn 3.05, 4 Eu 3.05
Sn (0.5000, 0.5000, 0.5000)  4 Zn 3.05, 4 Li 3.05
Li (0.7500, 0.7500, 0.7500)  4 Eu 3.05, 4 Sn 3.05

# 12
Material: AcIn5Cu2
Method: DFT, PBE
State: optimized geometry

Values from the calculation:
ρ   8.13 g cm⁻³
Electronic total energy   -27.59 eV/cell
E_form   -200 meV/atom

a b c (Å): 4.4624 7.0435 7.0435
angles (deg): 67.85 71.53 71.53
Closest atoms and distances in Å follow each position.
Sites, in units of the cell vectors:
Ac (0.0000, 0.0000, 0.0000)  4 Cu 3.52, 10 In 3.67-3.93
In (0.0000, 0.5000, 0.5000)  2 Cu 2.68
In (0.6523, 0.5423, 0.1530)  3 Cu 2.63-2.90
In (0.3477, 0.4577, 0.8470)  3 Cu 2.63-2.90
In (0.3477, 0.8470, 0.4577)  3 Cu 2.63-2.90
In (0.6523, 0.1530, 0.5423)  3 Cu 2.63-2.90
Cu (0.7516, 0.7484, 0.7484)  7 In 2.63-2.90
Cu (0.2484, 0.2516, 0.2516)  7 In 2.63-2.90